# 1
Below is crystalline DySc2In2Hg2 at its relaxed geometry, with properties calculated at the PBE level.

## Properties
Symmetry   R-3m
E_tot   -3.59 eV/atom
Energy of formation   -251 meV per atom
Density   8.59 g/cm³
D(E_F)   4.741 states/eV/cell
Size of the total moment   0.0 μB/cell

Cell: 4.808 4.808 8.968 Å, 74.45 74.45 60.00°
Positions (direct):
1 Sc 0.864 0.864 0.407
2 Sc 0.136 0.136 0.593
3 Hg 0.563 0.563 0.312
4 Hg 0.437 0.437 0.688
5 In 0.267 0.267 0.200
6 In 0.733 0.733 0.800
7 Dy 0.000 0.000 0.000


# 2
Below is crystalline SmDy2In2Hg2 at its relaxed geometry, with properties calculated at the PBE level.

## Properties
Symmetry   R-3m
E_tot   -3.14 eV/atom
Energy of formation   -287 meV per atom
Density   9.71 g/cm³
D(E_F)   4.219 states/eV/cell
Size of the total moment   0.0 μB/cell

Cell: 4.951 4.951 9.359 Å, 74.66 74.66 60.00°
Positions (direct):
1 Dy 0.868 0.868 0.396
2 Dy 0.132 0.132 0.604
3 Hg 0.571 0.571 0.287
4 Hg 0.429 0.429 0.713
5 In 0.732 0.732 0.803
6 In 0.268 0.268 0.197
7 Sm 0.000 0.000 0.000